## Th3Pa5Se12 (PBE)

Data for a relaxed structure of Th3Pa5Se12.

Summary:
- Raw formation energy: -21.0 eV per formula unit
- Total moment: 46.0 Bohr magnetons per cell

CIF file:
```
data_Th3Pa5Se12
_cell_length_a 14.692
_cell_length_b 14.692
_cell_length_c 14.692
_cell_angle_alpha 109.47
_cell_angle_beta 109.47
_cell_angle_gamma 109.47
_symmetry_space_group_name_H-M 'P 1'
_symmetry_Int_Tables_number 1
loop_
_symmetry_equiv_pos_as_xyz
'x,y,z'
loop_
_atom_site_label
_atom_site_fract_x
_atom_site_fract_y
_atom_site_fract_z
_atom_site_occupancy
Pa1 0.625 0.875 0.250 1
Pa2 0.375 0.125 0.750 1
Pa3 0.375 0.250 0.125 1
Pa4 0.250 0.375 0.625 1
Pa5 0.250 0.875 0.125 1
Pa6 0.000 0.500 0.000 1
Pa7 0.000 0.500 0.500 1
Pa8 0.750 0.125 0.875 1
Pa9 0.500 0.000 0.500 1
Pa10 0.875 0.250 0.625 1
Pa11 0.500 0.000 0.000 1
Pa12 0.500 0.500 0.500 1
Pa13 0.125 0.375 0.250 1
Pa14 0.625 0.750 0.875 1
Pa15 0.875 0.625 0.750 1
Pa16 0.000 0.000 0.500 1
Pa17 0.125 0.750 0.375 1
Pa18 0.000 0.000 0.000 1
Pa19 0.500 0.500 0.000 1
Pa20 0.750 0.625 0.375 1
Se1 0.577 0.946 0.672 1
Se2 0.274 0.869 0.946 1
Se3 0.446 0.774 0.869 1
Se4 0.094 0.172 0.226 1
Se5 0.172 0.094 0.726 1
Se6 0.406 0.274 0.328 1
Se7 0.672 0.446 0.577 1
Se8 0.828 0.923 0.054 1
Se9 0.906 0.077 0.631 1
Se10 0.054 0.631 0.726 1
Se11 0.054 0.423 0.828 1
Se12 0.869 0.594 0.923 1
Se13 0.594 0.726 0.672 1
Se14 0.594 0.869 0.423 1
Se15 0.554 0.226 0.131 1
Se16 0.328 0.554 0.423 1
Se17 0.828 0.906 0.274 1
Se18 0.369 0.423 0.094 1
Se19 0.923 0.094 0.869 1
Se20 0.946 0.369 0.274 1
Se21 0.328 0.774 0.406 1
Se22 0.577 0.631 0.406 1
Se23 0.946 0.577 0.172 1
Se24 0.446 0.672 0.077 1
Se25 0.631 0.054 0.226 1
Se26 0.423 0.369 0.594 1
Se27 0.869 0.274 0.446 1
Se28 0.226 0.554 0.631 1
Se29 0.094 0.923 0.369 1
Se30 0.172 0.077 0.946 1
Se31 0.726 0.131 0.054 1
Se32 0.726 0.594 0.172 1
Se33 0.077 0.172 0.446 1
Se34 0.774 0.446 0.369 1
Se35 0.226 0.672 0.094 1
Se36 0.631 0.577 0.906 1
Se37 0.923 0.828 0.554 1
Se38 0.077 0.906 0.131 1
Se39 0.554 0.328 0.923 1
Se40 0.406 0.131 0.577 1
Se41 0.423 0.054 0.328 1
Se42 0.131 0.726 0.554 1
Se43 0.369 0.946 0.774 1
Se44 0.906 0.828 0.774 1
Se45 0.672 0.226 0.594 1
Se46 0.774 0.328 0.906 1
Se47 0.131 0.406 0.077 1
Se48 0.274 0.406 0.828 1
Th1 0.875 0.750 0.125 1
Th2 0.250 0.125 0.375 1
Th3 0.750 0.875 0.625 1
Th4 0.750 0.375 0.125 1
Th5 0.125 0.875 0.750 1
Th6 0.625 0.375 0.750 1
Th7 0.625 0.250 0.375 1
Th8 0.375 0.750 0.625 1
Th9 0.125 0.250 0.875 1
Th10 0.875 0.125 0.250 1
Th11 0.250 0.625 0.875 1
Th12 0.375 0.625 0.250 1
```